Compound: CaPmAlGe
Source: Alexandria
Functional: PBE
Structure: relaxed

Results
The energy of formation from the pure elements is -36.4 kJ/mol of atoms. The calculation puts the theoretical density at 4.8 g/cm³. The total moment comes out at 0.0 μB per formula unit. Its total DFT energy (no corrections) is -4.155 eV/atom.

Cell and atoms, written as POSCAR:
```
CaPmAlGe
1.0
0.000 3.675 3.675
3.675 0.000 3.675
3.675 3.675 0.000
Ca Pm Al Ge
1 1 1 1
Cartesian
0.000 0.000 0.000 Ca
3.675 3.675 3.675 Pm
5.512 5.512 5.512 Al
1.837 1.837 1.837 Ge
```